--- P ---
Computed, not measured: an optimized crystal structure of Pr12Sm5Er2 at the GGA-PBE level of DFT.

**Symmetry**: C2/m, No. 12
**Total magnetization**: 0.000 μB per atom

Cell lengths 10.773, 9.415, 8.147 Å; angles 86.93, 90.00, 124.90 degrees
Fractional positions:
Er1 0.730 0.000 0.000
Pr1 0.129 0.258 0.898
Pr2 0.040 0.631 0.792
Sm1 0.242 0.484 0.518
Pr3 0.591 0.631 0.792
Pr4 0.446 0.893 0.711
Pr5 0.619 0.787 0.385
Pr6 0.554 0.107 0.289
Pr7 0.871 0.742 0.102
Pr8 0.960 0.369 0.208
Sm2 0.657 0.314 0.909
Pr9 0.381 0.213 0.615
Pr10 0.168 0.787 0.385
Pr11 0.832 0.213 0.615
Pr12 0.409 0.369 0.208
Er2 0.270 0.000 0.000
Sm3 0.343 0.686 0.091
Sm4 0.000 0.000 0.500
Sm5 0.758 0.516 0.482


--- Q ---
Computed, not measured: an optimized crystal structure of Pr12Sm5Er2 at the GGA-PBE level of DFT.

**Symmetry**: C2/m, No. 12
**Total magnetization**: 0.000 μB per atom

Cell lengths 7.607, 10.420, 10.174 Å; angles 65.78, 90.00, 111.41 degrees
Fractional positions:
Sm1 0.678 0.355 0.804
Pr1 0.926 0.331 0.501
Er1 0.299 0.000 0.000
Pr2 0.409 0.319 0.150
Pr3 0.508 0.017 0.673
Sm2 0.175 0.350 0.830
Pr4 0.595 0.669 0.499
Pr5 0.405 0.331 0.501
Pr6 0.910 0.319 0.150
Sm3 0.322 0.645 0.196
Pr7 0.492 0.983 0.327
Pr8 0.074 0.669 0.499
Pr9 0.591 0.681 0.850
Pr10 0.090 0.681 0.850
Er2 0.701 0.000 0.000
Sm4 0.000 0.000 0.500
Pr11 0.007 0.013 0.787
Pr12 0.993 0.987 0.213
Sm5 0.825 0.650 0.170


Relative energies, in meV per atom, with the most stable structure set to zero: P 0; Q 42.


--- P ---
Computed, not measured: an optimized crystal structure of PrSmEr at the GGA-PBE level of DFT.

**Symmetry**: Cmc2_1, No. 36
**Total magnetization**: 0.000 μB per atom

Cell lengths 3.652, 5.919, 9.726 Å; angles 90.00, 100.82, 90.00 degrees
Fractional positions:
Sm1 0.943 0.918 0.887
Pr1 0.770 0.706 0.540
Pr2 0.230 0.206 0.460
Er1 0.401 0.416 0.802
Er2 0.599 0.916 0.198
Sm2 0.057 0.418 0.113


--- Q ---
Computed, not measured: an optimized crystal structure of PrSmEr at the GGA-PBE level of DFT.

**Symmetry**: C2/m, No. 12
**Total magnetization**: 0.000 μB per atom

Cell lengths 3.620, 3.620, 17.688 Å; angles 90.01, 90.01, 60.04 degrees
Fractional positions:
Pr1 0.063 0.508 0.855
Sm1 0.729 0.173 0.027
Pr2 0.061 0.504 0.364
Er1 0.729 0.173 0.689
Sm2 0.395 0.838 0.191
Er2 0.395 0.838 0.530


Relative energies, in meV per atom, with the most stable structure set to zero: P 90; Q 0.


--- P ---
Computed, not measured: an optimized crystal structure of PrSmEr at the GGA-PBE level of DFT.

**Symmetry**: P3m1, No. 156
**Total magnetization**: 0.000 μB per atom

Cell lengths 3.519, 5.718, 5.718 Å; angles 120.00, 90.00, 90.00 degrees
Fractional positions:
Pr1 0.165 0.000 0.000
Sm1 0.666 0.667 0.333
Er1 0.168 0.333 0.667


--- Q ---
Computed, not measured: an optimized crystal structure of PrSmEr at the GGA-PBE level of DFT.

**Symmetry**: I4mm, No. 107
**Total magnetization**: 0.000 μB per atom

Cell lengths 3.626, 3.626, 8.069 Å; angles 102.98, 102.98, 90.00 degrees
Fractional positions:
Sm1 0.003 0.003 0.005
Er1 0.666 0.666 0.331
Pr1 0.332 0.332 0.664


Relative energies, in meV per atom, with the most stable structure set to zero: P 43; Q 0.


--- P ---
Computed, not measured: an optimized crystal structure of Pr2Sm3Er8 at the GGA-PBE level of DFT.

**Symmetry**: Cmmm, No. 65
**Total magnetization**: 0.000 μB per atom

Cell lengths 5.553, 11.033, 11.033 Å; angles 40.63, 90.01, 90.01 degrees
Fractional positions:
Er1 0.000 0.662 0.662
Er2 0.000 0.128 0.128
Sm1 0.500 0.000 0.000
Er3 0.500 0.180 0.604
Er4 0.000 0.872 0.872
Pr1 0.500 0.241 0.241
Sm2 0.000 0.292 0.708
Er5 0.500 0.396 0.820
Er6 0.500 0.820 0.396
Sm3 0.000 0.708 0.292
Er7 0.500 0.604 0.180
Pr2 0.500 0.759 0.759
Er8 0.000 0.338 0.338


--- Q ---
Computed, not measured: an optimized crystal structure of Pr2Sm3Er8 at the GGA-PBE level of DFT.

**Symmetry**: C2/m, No. 12
**Total magnetization**: 0.000 μB per atom

Cell lengths 6.781, 9.111, 8.619 Å; angles 121.91, 81.89, 90.00 degrees
Fractional positions:
Pr1 0.198 0.219 0.438
Sm1 0.500 0.000 0.000
Er1 0.561 0.432 0.226
Pr2 0.802 0.781 0.562
Sm2 0.000 0.173 0.000
Er2 0.439 0.207 0.774
Er3 0.439 0.568 0.774
Er4 0.561 0.793 0.226
Er5 0.292 0.799 0.598
Er6 0.857 0.421 0.842
Sm3 0.000 0.827 0.000
Er7 0.143 0.579 0.158
Er8 0.708 0.201 0.402


Relative energies, in meV per atom, with the most stable structure set to zero: P 6; Q 0.


--- P ---
Computed, not measured: an optimized crystal structure of Pr5Sm2Er4 at the GGA-PBE level of DFT.

**Symmetry**: C2/m, No. 12
**Total magnetization**: 0.000 μB per atom

Cell lengths 3.566, 11.720, 9.108 Å; angles 93.85, 101.29, 90.00 degrees
Fractional positions:
Er1 0.640 0.797 0.279
Er2 0.033 0.259 0.066
Pr1 0.096 0.535 0.192
Er3 0.360 0.203 0.721
Er4 0.967 0.741 0.934
Pr2 0.500 0.000 0.000
Sm1 0.283 0.648 0.567
Pr3 0.904 0.465 0.808
Sm2 0.717 0.352 0.433
Pr4 0.824 0.929 0.648
Pr5 0.176 0.071 0.352


--- Q ---
Computed, not measured: an optimized crystal structure of Pr5Sm2Er4 at the GGA-PBE level of DFT.

**Symmetry**: Immm, No. 71
**Total magnetization**: 0.000 μB per atom

Cell lengths 3.552, 9.214, 12.813 Å; angles 111.07, 97.97, 90.00 degrees
Fractional positions:
Sm1 0.269 0.269 0.538
Er1 0.000 0.316 0.000
Sm2 0.731 0.731 0.462
Pr1 0.145 0.944 0.289
Er2 0.000 0.684 0.000
Pr2 0.500 0.000 0.000
Er3 0.404 0.404 0.808
Pr3 0.855 0.655 0.711
Pr4 0.145 0.345 0.289
Pr5 0.855 0.056 0.711
Er4 0.596 0.596 0.192


Relative energies, in meV per atom, with the most stable structure set to zero: P 0; Q 100.


--- P ---
Computed, not measured: an optimized crystal structure of PrSm2Er at the GGA-PBE level of DFT.

**Symmetry**: P4/mmm, No. 123
**Total magnetization**: 0.000 μB per atom

Cell lengths 5.133, 5.107, 5.107 Å; angles 90.00, 90.00, 90.00 degrees
Fractional positions:
Sm1 0.000 0.000 0.500
Er1 0.500 0.500 0.500
Sm2 0.000 0.500 0.000
Pr1 0.500 0.000 0.000


--- Q ---
Computed, not measured: an optimized crystal structure of PrSm2Er at the GGA-PBE level of DFT.

**Symmetry**: P4/mmm, No. 123
**Total magnetization**: 0.000 μB per atom

Cell lengths 4.262, 4.262, 7.422 Å; angles 90.00, 90.00, 90.00 degrees
Fractional positions:
Sm1 0.000 0.000 0.242
Pr1 0.500 0.500 0.500
Sm2 0.000 0.000 0.758
Er1 0.500 0.500 0.000


--- R ---
Computed, not measured: an optimized crystal structure of PrSm2Er at the GGA-PBE level of DFT.

**Symmetry**: Fm-3m, No. 225
**Total magnetization**: 0.050 μB per atom

Cell lengths 5.764, 5.764, 5.764 Å; angles 60.00, 60.00, 60.00 degrees
Fractional positions:
Pr1 0.500 0.500 0.500
Sm1 0.250 0.250 0.250
Sm2 0.750 0.750 0.750
Er1 0.000 0.000 0.000


Relative energies, in meV per atom, with the most stable structure set to zero: P 0; Q 101; R 129.